No. 1
Here is a relaxed structure of Zn6GaAg5 from Alexandria via LeMat-Bulk. Energies are from GGA-PBE.

Output
E above lowest polymorph   2 meV per atom
SG   No. 12
ΔH_f (0 K)   -0.01 eV/atom

abc: 8.031 4.390 6.965
angles: 71.63 79.93 56.31
Element x y z (fractional)
Zn1 0.748 0.084 0.335
Zn2 0.252 0.581 0.335
Zn3 0.244 0.257 0.000
Zn4 0.756 0.743 0.000
Zn5 0.748 0.419 0.665
Zn6 0.252 0.916 0.665
Ga1 0.000 0.000 0.000
Ag1 0.500 0.163 0.673
Ag2 0.000 0.331 0.339
Ag3 0.500 0.500 0.000
Ag4 0.000 0.669 0.661
Ag5 0.500 0.837 0.327

***

No. 2
Here is a relaxed structure of Zn12Ga2Ag5 from Alexandria via LeMat-Bulk. Energies are from GGA-PBE.

Output
E above lowest polymorph   10 meV per atom
SG   No. 12
ΔH_f (0 K)   0.03 eV/atom

abc: 8.334 7.206 6.542
angles: 90.87 90.00 125.33
Element x y z (fractional)
Zn1 0.095 0.191 0.116
Zn2 0.061 0.584 0.801
Zn3 0.523 0.584 0.801
Zn4 0.173 0.798 0.405
Zn5 0.625 0.798 0.405
Zn6 0.448 0.896 0.700
Zn7 0.552 0.104 0.300
Zn8 0.827 0.202 0.595
Zn9 0.375 0.202 0.595
Zn10 0.939 0.416 0.199
Zn11 0.477 0.416 0.199
Zn12 0.905 0.809 0.884
Ga1 0.728 0.000 0.000
Ga2 0.272 0.000 0.000
Ag1 0.234 0.469 0.519
Ag2 0.333 0.665 0.104
Ag3 0.000 0.000 0.500
Ag4 0.667 0.335 0.896
Ag5 0.766 0.531 0.481

***

No. 3
Here is a relaxed structure of ZnGaAg6 from Alexandria via LeMat-Bulk. Energies are from GGA-PBE.

Output
E above lowest polymorph   0 meV per atom
SG   No. 123
ΔH_f (0 K)   0.00 eV/atom

abc: 4.105 4.105 8.212
angles: 90.00 90.00 90.00
Element x y z (fractional)
Zn1 0.000 0.000 0.000
Ga1 0.000 0.000 0.500
Ag1 0.500 0.500 0.000
Ag2 0.500 0.500 0.500
Ag3 0.500 0.000 0.248
Ag4 0.500 0.000 0.752
Ag5 0.000 0.500 0.248
Ag6 0.000 0.500 0.752

***

No. 4
Here is a relaxed structure of ZnGa5Ag4 from Alexandria via LeMat-Bulk. Energies are from GGA-PBE.

Output
E above lowest polymorph   20 meV per atom
SG   No. 59
ΔH_f (0 K)   0.06 eV/atom

abc: 4.916 8.952 8.591
angles: 90.00 90.00 90.00
Element x y z (fractional)
Zn1 0.858 0.000 0.000
Zn2 0.142 0.500 0.500
Ga1 0.267 0.739 0.671
Ga2 0.267 0.261 0.671
Ga3 0.549 0.500 0.000
Ga4 0.267 0.739 0.329
Ga5 0.267 0.261 0.329
Ga6 0.733 0.761 0.171
Ga7 0.733 0.239 0.171
Ga8 0.451 0.000 0.500
Ga9 0.733 0.239 0.829
Ga10 0.733 0.761 0.829
Ag1 0.979 0.000 0.684
Ag2 0.242 0.764 0.000
Ag3 0.242 0.236 0.000
Ag4 0.979 0.000 0.316
Ag5 0.021 0.500 0.184
Ag6 0.758 0.736 0.500
Ag7 0.758 0.264 0.500
Ag8 0.021 0.500 0.816

***

no.,uncorrected energy (eV/atom)
1,-2.0885
2,-1.8386
3,-2.6785
4,-2.7236